i) # PBE YVH2N, optimized geometry
data_YVH2N
_chemical_formula_sum 'Y1 V1 H2 N1'
_space_group_name_H-M_alt 'P 4/m m m'
_space_group_IT_number 123
_space_group_name_Hall '-P 4 2'
_cell_length_a 3.541
_cell_length_b 3.541
_cell_length_c 6.233
_cell_angle_alpha 90.00
_cell_angle_beta 90.00
_cell_angle_gamma 90.00
loop_
_atom_site_label
_atom_site_fract_x
_atom_site_fract_y
_atom_site_fract_z
Y1 0.000 0.000 0.000
V1 0.000 0.000 0.500
H1 0.000 0.500 0.000
N1 0.500 0.500 0.500
# Size of the total moment, μB/f.u.: 0.000

---

ii) # PBE YVH2N, optimized geometry
data_YVH2N
_chemical_formula_sum 'Y1 V1 H2 N1'
_space_group_name_H-M_alt 'P 4/m m m'
_space_group_IT_number 123
_space_group_name_Hall '-P 4 2'
_cell_length_a 3.557
_cell_length_b 3.557
_cell_length_c 3.927
_cell_angle_alpha 90.00
_cell_angle_beta 90.00
_cell_angle_gamma 90.00
loop_
_atom_site_label
_atom_site_fract_x
_atom_site_fract_y
_atom_site_fract_z
Y1 0.000 0.000 0.000
V1 0.500 0.500 0.500
H1 0.000 0.500 0.500
N1 0.500 0.500 0.000
# Size of the total moment, μB/f.u.: 0.936

---

Relative calculated energies, zero for the most stable structure, unit meV per atom: i) 1755; ii) 0.

---

i) # PBE YH2N, optimized geometry
data_YH2N
_chemical_formula_sum 'Y4 H8 N4'
_space_group_name_H-M_alt 'I -4 2 d'
_space_group_IT_number 122
_space_group_name_Hall 'I -4 2bw'
_cell_length_a 3.419
_cell_length_b 3.419
_cell_length_c 14.097
_cell_angle_alpha 90.00
_cell_angle_beta 90.00
_cell_angle_gamma 90.00
loop_
_atom_site_label
_atom_site_fract_x
_atom_site_fract_y
_atom_site_fract_z
Y1 0.000 0.000 0.000
H1 0.198 0.250 0.625
N1 0.000 0.000 0.500
# Size of the total moment, μB/f.u.: 0.000

---

ii) # PBE YH2N, optimized geometry
data_YH2N
_chemical_formula_sum 'Y4 H8 N4'
_space_group_name_H-M_alt 'F m -3 m'
_space_group_IT_number 225
_space_group_name_Hall '-F 4 2 3'
_cell_length_a 5.159
_cell_length_b 5.159
_cell_length_c 5.159
_cell_angle_alpha 90.00
_cell_angle_beta 90.00
_cell_angle_gamma 90.00
loop_
_atom_site_label
_atom_site_fract_x
_atom_site_fract_y
_atom_site_fract_z
Y1 0.000 0.000 0.000
H1 0.250 0.250 0.250
N1 0.000 0.000 0.500
# Size of the total moment, μB/f.u.: 0.000

---

Relative calculated energies, zero for the most stable structure, unit meV per atom: i) 185; ii) 0.

---

i) # PBE Zn2HN, optimized geometry
data_Zn2HN
_chemical_formula_sum 'Zn4 H2 N2'
_space_group_name_H-M_alt 'C 1 m 1'
_space_group_IT_number 8
_space_group_name_Hall 'C -2y'
_cell_length_a 5.602
_cell_length_b 3.237
_cell_length_c 5.650
_cell_angle_alpha 90.00
_cell_angle_beta 109.28
_cell_angle_gamma 90.00
loop_
_atom_site_label
_atom_site_fract_x
_atom_site_fract_y
_atom_site_fract_z
Zn1 0.000 0.000 0.000
Zn2 0.208 0.000 0.623
H1 0.102 0.000 0.312
N1 0.104 0.500 0.812
# Size of the total moment, μB/f.u.: 0.000

---

ii) # PBE Zn2HN, optimized geometry
data_Zn2HN
_chemical_formula_sum 'Zn8 H4 N4'
_space_group_name_H-M_alt 'F m -3 m'
_space_group_IT_number 225
_space_group_name_Hall '-F 4 2 3'
_cell_length_a 5.313
_cell_length_b 5.313
_cell_length_c 5.313
_cell_angle_alpha 90.00
_cell_angle_beta 90.00
_cell_angle_gamma 90.00
loop_
_atom_site_label
_atom_site_fract_x
_atom_site_fract_y
_atom_site_fract_z
Zn1 0.250 0.250 0.250
H1 0.000 0.000 0.000
N1 0.000 0.000 0.500
# Size of the total moment, μB/f.u.: 0.000

---

iii) # PBE Zn2HN, optimized geometry
data_Zn2HN
_chemical_formula_sum 'Zn8 H4 N4'
_space_group_name_H-M_alt 'I -4 2 d'
_space_group_IT_number 122
_space_group_name_Hall 'I -4 2bw'
_cell_length_a 4.432
_cell_length_b 4.432
_cell_length_c 9.753
_cell_angle_alpha 90.00
_cell_angle_beta 90.00
_cell_angle_gamma 90.00
loop_
_atom_site_label
_atom_site_fract_x
_atom_site_fract_y
_atom_site_fract_z
Zn1 0.229 0.250 0.125
H1 0.000 0.000 0.500
N1 0.000 0.000 0.000
# Size of the total moment, μB/f.u.: 0.000

---

Relative calculated energies, zero for the most stable structure, unit meV per atom: i) 0; ii) 494; iii) 33.

---

i) # PBE Zr4HN3, optimized geometry
data_Zr4HN3
_chemical_formula_sum 'Zr4 H1 N3'
_space_group_name_H-M_alt 'P m -3 m'
_space_group_IT_number 221
_space_group_name_Hall '-P 4 2 3'
_cell_length_a 4.614
_cell_length_b 4.614
_cell_length_c 4.614
_cell_angle_alpha 90.00
_cell_angle_beta 90.00
_cell_angle_gamma 90.00
loop_
_atom_site_label
_atom_site_fract_x
_atom_site_fract_y
_atom_site_fract_z
Zr1 0.000 0.000 0.000
Zr2 0.000 0.500 0.500
H1 0.500 0.500 0.500
N1 0.000 0.000 0.500
# Size of the total moment, μB/f.u.: 0.000

---

ii) # PBE Zr4HN3, optimized geometry
data_Zr4HN3
_chemical_formula_sum 'Zr8 H2 N6'
_space_group_name_H-M_alt 'C m m m'
_space_group_IT_number 65
_space_group_name_Hall '-C 2 2'
_cell_length_a 6.520
_cell_length_b 9.259
_cell_length_c 3.253
_cell_angle_alpha 90.00
_cell_angle_beta 90.00
_cell_angle_gamma 90.00
loop_
_atom_site_label
_atom_site_fract_x
_atom_site_fract_y
_atom_site_fract_z
Zr1 0.000 0.245 0.000
Zr2 0.245 0.000 0.500
H1 0.000 0.500 0.000
N1 0.000 0.000 0.000
N2 0.250 0.250 0.500
# Size of the total moment, μB/f.u.: 0.000

---

Relative calculated energies, zero for the most stable structure, unit meV per atom: i) 30; ii) 0.

---

i) # PBE NaH, optimized geometry
data_NaH
_chemical_formula_sum 'Na2 H2'
_space_group_name_H-M_alt 'I -4 m 2'
_space_group_IT_number 119
_space_group_name_Hall 'I -4 -2'
_cell_length_a 3.648
_cell_length_b 3.648
_cell_length_c 5.195
_cell_angle_alpha 90.00
_cell_angle_beta 90.00
_cell_angle_gamma 90.00
loop_
_atom_site_label
_atom_site_fract_x
_atom_site_fract_y
_atom_site_fract_z
Na1 0.000 0.000 0.000
H1 0.000 0.500 0.750
# Size of the total moment, μB/f.u.: 0.000

---

ii) # PBE NaH, optimized geometry
data_NaH
_chemical_formula_sum 'Na6 H6'
_space_group_name_H-M_alt 'P 63/m'
_space_group_IT_number 176
_space_group_name_Hall '-P 6c'
_cell_length_a 8.5939
_cell_length_b 8.5939
_cell_length_c 3.8702
_cell_angle_alpha 90.00
_cell_angle_beta 90.00
_cell_angle_gamma 120.00
loop_
_atom_site_label
_atom_site_fract_x
_atom_site_fract_y
_atom_site_fract_z
Na1 0.0756 0.6740 0.2500
H1 0.0736 0.4009 0.2500
# Size of the total moment, μB/f.u.: 0.000

---

iii) # PBE NaH, optimized geometry
data_NaH
_chemical_formula_sum 'Na2 H2'
_space_group_name_H-M_alt 'P -1'
_space_group_IT_number 2
_space_group_name_Hall '-P 1'
_cell_length_a 3.983
_cell_length_b 4.471
_cell_length_c 5.916
_cell_angle_alpha 68.37
_cell_angle_beta 88.95
_cell_angle_gamma 89.52
loop_
_atom_site_label
_atom_site_fract_x
_atom_site_fract_y
_atom_site_fract_z
Na1 0.244 0.340 0.316
H1 0.436 0.030 0.948
# Size of the total moment, μB/f.u.: 0.000

---

Relative calculated energies, zero for the most stable structure, unit meV per atom: i) 0; ii) 11; iii) 266.

---

i) # PBE NaH, optimized geometry
data_NaH
_chemical_formula_sum 'Na6 H6'
_space_group_name_H-M_alt 'P m -3 n'
_space_group_IT_number 223
_space_group_name_Hall '-P 4n 2 3'
_cell_length_a 6.329
_cell_length_b 6.329
_cell_length_c 6.329
_cell_angle_alpha 90.00
_cell_angle_beta 90.00
_cell_angle_gamma 90.00
loop_
_atom_site_label
_atom_site_fract_x
_atom_site_fract_y
_atom_site_fract_z
Na1 0.000 0.250 0.500
H1 0.000 0.500 0.250
# Size of the total moment, μB/f.u.: 0.000

---

ii) # PBE NaH, optimized geometry
data_NaH
_chemical_formula_sum 'Na8 H8'
_space_group_name_H-M_alt 'I -4 3 m'
_space_group_IT_number 217
_space_group_name_Hall 'I -4 2 3'
_cell_length_a 7.013
_cell_length_b 7.013
_cell_length_c 7.013
_cell_angle_alpha 90.00
_cell_angle_beta 90.00
_cell_angle_gamma 90.00
loop_
_atom_site_label
_atom_site_fract_x
_atom_site_fract_y
_atom_site_fract_z
Na1 0.164 0.164 0.836
H1 0.161 0.161 0.161
# Size of the total moment, μB/f.u.: 0.000

---

iii) # PBE NaH, optimized geometry
data_NaH
_chemical_formula_sum 'Na1 H1'
_space_group_name_H-M_alt 'P m -3 m'
_space_group_IT_number 221
_space_group_name_Hall '-P 4 2 3'
_cell_length_a 2.941
_cell_length_b 2.941
_cell_length_c 2.941
_cell_angle_alpha 90.00
_cell_angle_beta 90.00
_cell_angle_gamma 90.00
loop_
_atom_site_label
_atom_site_fract_x
_atom_site_fract_y
_atom_site_fract_z
Na1 0.000 0.000 0.000
H1 0.500 0.500 0.500
# Size of the total moment, μB/f.u.: 0.000

---

Relative calculated energies, zero for the most stable structure, unit meV per atom: i) 0; ii) 12; iii) 98.

---

i) # PBE NaH3, optimized geometry
data_NaH3
_chemical_formula_sum 'Na1 H3'
_space_group_name_H-M_alt 'P m m 2'
_space_group_IT_number 25
_space_group_name_Hall 'P 2 -2'
_cell_length_a 2.483
_cell_length_b 4.800
_cell_length_c 3.410
_cell_angle_alpha 90.00
_cell_angle_beta 90.00
_cell_angle_gamma 90.00
loop_
_atom_site_label
_atom_site_fract_x
_atom_site_fract_y
_atom_site_fract_z
Na1 0.000 0.000 0.000
H1 0.000 0.500 0.985
H2 0.500 0.000 0.500
H3 0.500 0.500 0.985
# Size of the total moment, μB/f.u.: 0.053

---

ii) # PBE NaH3, optimized geometry
data_NaH3
_chemical_formula_sum 'Na2 H6'
_space_group_name_H-M_alt 'P 1 21/m 1'
_space_group_IT_number 11
_space_group_name_Hall '-P 2yb'
_cell_length_a 4.399
_cell_length_b 4.502
_cell_length_c 5.296
_cell_angle_alpha 90.00
_cell_angle_beta 107.69
_cell_angle_gamma 90.00
loop_
_atom_site_label
_atom_site_fract_x
_atom_site_fract_y
_atom_site_fract_z
Na1 0.233 0.250 0.451
H1 0.193 0.250 0.933
H2 0.237 0.750 0.465
H3 0.363 0.250 0.025
# Size of the total moment, μB/f.u.: 0.000

---

iii) # PBE NaH3, optimized geometry
data_NaH3
_chemical_formula_sum 'Na2 H6'
_space_group_name_H-M_alt 'I 4/m m m'
_space_group_IT_number 139
_space_group_name_Hall '-I 4 2'
_cell_length_a 3.545
_cell_length_b 3.545
_cell_length_c 6.578
_cell_angle_alpha 90.00
_cell_angle_beta 90.00
_cell_angle_gamma 90.00
loop_
_atom_site_label
_atom_site_fract_x
_atom_site_fract_y
_atom_site_fract_z
Na1 0.000 0.000 0.000
H1 0.000 0.000 0.342
H2 0.000 0.000 0.500
# Size of the total moment, μB/f.u.: 0.000

---

Relative calculated energies, zero for the most stable structure, unit meV per atom: i) 429; ii) 0; iii) 184.

---

i) # PBE Na2NbH2, optimized geometry
data_Na2NbH2
_chemical_formula_sum 'Na4 Nb2 H4'
_space_group_name_H-M_alt 'I 4/m m m'
_space_group_IT_number 139
_space_group_name_Hall '-I 4 2'
_cell_length_a 3.357
_cell_length_b 3.357
_cell_length_c 11.229
_cell_angle_alpha 90.00
_cell_angle_beta 90.00
_cell_angle_gamma 90.00
loop_
_atom_site_label
_atom_site_fract_x
_atom_site_fract_y
_atom_site_fract_z
Na1 0.000 0.500 0.250
Nb1 0.000 0.000 0.000
H1 0.000 0.000 0.417
# Size of the total moment, μB/f.u.: 0.000

---

ii) # PBE Na2NbH2, optimized geometry
data_Na2NbH2
_chemical_formula_sum 'Na4 Nb2 H4'
_space_group_name_H-M_alt 'P 4/m b m'
_space_group_IT_number 127
_space_group_name_Hall '-P 4 2ab'
_cell_length_a 5.850
_cell_length_b 5.850
_cell_length_c 4.634
_cell_angle_alpha 90.00
_cell_angle_beta 90.00
_cell_angle_gamma 90.00
loop_
_atom_site_label
_atom_site_fract_x
_atom_site_fract_y
_atom_site_fract_z
Na1 0.170 0.330 0.000
Nb1 0.000 0.000 0.500
H1 0.234 0.734 0.500
# Size of the total moment, μB/f.u.: 2.707

---

Relative calculated energies, zero for the most stable structure, unit meV per atom: i) 420; ii) 0.